DFT (PBE) results for a relaxed structure of Ac2TlTeO8.

Lattice parameters (Å, degrees): 5.017 5.063 7.945 92.01 91.85 94.86
Space group P-1 (No. 2)
Asymmetric unit:
1 Ac 0.055 0.047 0.261 (multiplicity 2)
2 Tl 0.500 0.500 0.000 (multiplicity 1)
3 Te 0.500 0.500 0.500 (multiplicity 1)
4 O 0.208 0.207 0.979 (multiplicity 2)
5 O 0.219 0.229 0.545 (multiplicity 2)
6 O 0.273 0.614 0.314 (multiplicity 2)
7 O 0.382 0.737 0.679 (multiplicity 2)

Output
- DOS(E_F) (states/eV/atom) = 0.3662
- E_form (uncorrected) (meV per atom) = -1860
- DFT total energy (eV per formula unit) = -75.71

DFT (PBE) results for a relaxed structure of AcTl2Te2O6.

Lattice parameters (Å, degrees): 10.417 7.138 7.181 90.00 113.07 90.00
Space group C2/m (No. 12)
Asymmetric unit:
1 Ac 0.000 0.000 0.000 (multiplicity 2)
2 Tl 0.185 0.000 0.625 (multiplicity 4)
3 Te 0.058 0.500 0.729 (multiplicity 4)
4 O 0.052 0.219 0.767 (multiplicity 8)
5 O 0.247 0.500 0.765 (multiplicity 4)

Output
- DOS(E_F) (states/eV/atom) = 0.2659
- E_form (uncorrected) (meV per atom) = -1331
- DFT total energy (eV per formula unit) = -59.52

DFT (PBE) results for a relaxed structure of AcTl3Te2O9.

Lattice parameters (Å, degrees): 6.0255 6.0255 7.6946 90.00 90.00 120.00
Space group P-3m1 (No. 164)
Asymmetric unit:
1 Ac 0.0000 0.0000 0.0000 (multiplicity 1)
2 Tl 0.0000 0.0000 0.5000 (multiplicity 1)
3 Tl 0.3333 0.6667 0.1910 (multiplicity 2)
4 Te 0.3333 0.6667 0.6587 (multiplicity 2)
5 O 0.0000 0.5000 0.5000 (multiplicity 3)
6 O 0.1801 0.3601 0.7945 (multiplicity 6)

Output
- DOS(E_F) (states/eV/atom) = 0.2870
- E_form (uncorrected) (meV per atom) = -1253
- DFT total energy (eV per formula unit) = -80.91

DFT (PBE) results for a relaxed structure of AcTlTe2O8.

Lattice parameters (Å, degrees): 6.2418 6.2418 8.1288 90.00 90.00 120.00
Space group P-3 (No. 147)
Asymmetric unit:
1 Ac 0.0000 0.0000 0.0000 (multiplicity 1)
2 Tl 0.0000 0.0000 0.5000 (multiplicity 1)
3 Te 0.3333 0.6667 0.2802 (multiplicity 2)
4 O 0.1727 0.3489 0.1957 (multiplicity 6)
5 O 0.3333 0.6667 0.5042 (multiplicity 2)

Output
- DOS(E_F) (states/eV/atom) = 0.0000
- E_form (uncorrected) (meV per atom) = -1411
- DFT total energy (eV per formula unit) = -69.36

DFT (PBE) results for a relaxed structure of AcTlTe2O7.

Lattice parameters (Å, degrees): 4.114 4.114 23.610 90.00 90.00 90.00
Space group I-4m2 (No. 119)
Asymmetric unit:
1 Ac 0.000 0.000 0.000 (multiplicity 2)
2 Tl 0.000 0.500 0.250 (multiplicity 2)
3 Te 0.000 0.000 0.403 (multiplicity 4)
4 O 0.000 0.000 0.324 (multiplicity 4)
5 O 0.000 0.000 0.500 (multiplicity 2)
6 O 0.000 0.500 0.079 (multiplicity 4)
7 O 0.000 0.500 0.579 (multiplicity 4)

Output
- DOS(E_F) (states/eV/atom) = 0.2411
- E_form (uncorrected) (meV per atom) = -1471
- DFT total energy (eV per formula unit) = -63.65

DFT (PBE) results for a relaxed structure of AcTlTe2O6.

Lattice parameters (Å, degrees): 8.726 11.743 8.217 90.00 96.75 90.00
Space group C2/c (No. 15)
Asymmetric unit:
1 Ac 0.000 0.078 0.250 (multiplicity 4)
2 Tl 0.000 0.309 0.750 (multiplicity 4)
3 Te 0.196 0.390 0.366 (multiplicity 8)
4 O 0.086 0.105 0.561 (multiplicity 8)
5 O 0.185 0.250 0.251 (multiplicity 8)
6 O 0.214 0.496 0.198 (multiplicity 8)

Output
- DOS(E_F) (states/eV/atom) = 0.0000
- E_form (uncorrected) (meV per atom) = -1662
- DFT total energy (eV per formula unit) = -59.13

DFT (PBE) results for a relaxed structure of AcTm2TeO8.

Lattice parameters (Å, degrees): 7.010 7.057 7.198 90.00 90.00 90.00
Space group Cmmm (No. 65)
Asymmetric unit:
1 Ac 0.000 0.000 0.000 (multiplicity 2)
2 Tm 0.000 0.500 0.269 (multiplicity 4)
3 Te 0.000 0.000 0.500 (multiplicity 2)
4 O 0.000 0.188 0.301 (multiplicity 8)
5 O 0.166 0.500 0.000 (multiplicity 4)
6 O 0.219 0.500 0.500 (multiplicity 4)

Output
- DOS(E_F) (states/eV/atom) = 0.3577
- E_form (uncorrected) (meV per atom) = -2526
- DFT total energy (eV per formula unit) = -86.17

DFT (PBE) results for a relaxed structure of AcTmTeO5.

Lattice parameters (Å, degrees): 8.011 9.399 8.136 90.00 115.74 90.00
Space group C2/c (No. 15)
Asymmetric unit:
1 Ac 0.000 0.058 0.250 (multiplicity 4)
2 Tm 0.250 0.250 0.000 (multiplicity 4)
3 Te 0.000 0.465 0.250 (multiplicity 4)
4 O 0.000 0.194 0.750 (multiplicity 4)
5 O 0.047 0.322 0.108 (multiplicity 8)
6 O 0.213 0.021 0.075 (multiplicity 8)

Output
- DOS(E_F) (states/eV/atom) = 0.0000
- E_form (uncorrected) (meV per atom) = -2540
- DFT total energy (eV per formula unit) = -56.83